# Rb3Cr2F8 PBE with a Hubbard U relaxed
data_Rb3Cr2F8
_cell_length_a 11.2438
_cell_length_b 7.3943
_cell_length_c 6.7756
_cell_angle_alpha 90.00
_cell_angle_beta 109.32
_cell_angle_gamma 90.00
_symmetry_space_group_name_H-M 'C 1 2/m 1'
_symmetry_Int_Tables_number 12
loop_
_symmetry_equiv_pos_as_xyz
'x,y,z'
'-x,-y,-z'
'-x,y,-z'
'x,-y,z'
'x+1/2,y+1/2,z'
'-x+1/2,-y+1/2,-z'
'-x+1/2,y+1/2,-z'
'x+1/2,-y+1/2,z'
loop_
_atom_site_label
_atom_site_fract_x
_atom_site_fract_y
_atom_site_fract_z
Rb1 0.0000 0.0000 0.0000
Rb2 0.1672 0.0000 0.5908
Cr1 0.0094 0.5000 0.7474
F1 0.0079 0.2364 0.7271
F2 0.1159 0.5000 0.0686
F3 0.1256 0.5000 0.5574
# total energy: -5.2024 eV per atom